No. 1
# Zr3Ta2Ge3

Crystalline Zr3Ta2Ge3 at its relaxed geometry (PBE, Alexandria).

Geometry as POSCAR:
```
Zr3Ta2Ge3
1.0
5.463 0.000 0.000
0.000 6.891 -3.978
0.000 0.000 7.957
Zr Ta Ge
6 4 6
Direct
0.750 0.255 0.000
0.750 0.745 0.745
0.750 0.000 0.255
0.250 0.745 0.000
0.250 0.255 0.255
0.250 0.000 0.745
0.000 0.333 0.667
0.500 0.667 0.333
0.000 0.667 0.333
0.500 0.333 0.667
0.750 0.608 0.000
0.750 0.392 0.392
0.750 0.000 0.608
0.250 0.392 0.000
0.250 0.608 0.608
0.250 0.000 0.392
```

Computed properties:
Calculated total energy ... -8.5743 eV per atom
SG ... No. 193
Density ... 9.46 g/cm³
DFT formation energy ... -0.674 eV/atom
Size of the total moment ... 0.0000 μB per atom

No. 2
# Ga2Ni4P

Crystalline Ga2Ni4P at its relaxed geometry (PBE, Alexandria).

Geometry as POSCAR:
```
Ga2Ni4P
1.0
4.103 0.000 0.000
0.000 4.103 0.000
2.051 2.051 6.169
Ni Ga P
4 2 1
Direct
0.174 0.174 0.652
0.826 0.826 0.348
0.000 0.500 0.000
0.500 0.000 0.000
0.363 0.363 0.273
0.637 0.637 0.727
0.000 0.000 0.000
```

Computed properties:
Calculated total energy ... -4.9026 eV per atom
SG ... No. 139
Density ... 6.48 g/cm³
DFT formation energy ... 0.039 eV/atom
Size of the total moment ... 0.0000 μB per atom

No. 3
# CuPO4

Crystalline CuPO4 at its relaxed geometry (PBE, Alexandria).

Geometry as POSCAR:
```
CuPO4
1.0
4.754 0.041 0.558
1.091 4.627 0.558
0.000 0.000 7.228
Cu P O
2 2 8
Direct
0.500 0.000 0.500
0.000 0.500 0.000
0.076 0.924 0.250
0.924 0.076 0.750
0.198 0.744 0.080
0.256 0.802 0.420
0.802 0.256 0.920
0.744 0.198 0.580
0.115 0.238 0.203
0.762 0.885 0.297
0.885 0.762 0.797
0.238 0.115 0.703
```

Computed properties:
Calculated total energy ... -6.3196 eV per atom
Uncorrected formation energy ... -1.43 eV/atom
SG ... No. 15
Density ... 3.32 g/cm³
Size of the total moment ... 0.0000 μB per atom

No. 4
# Pm4Ho15Sc

Crystalline Pm4Ho15Sc at its relaxed geometry (PBE, Alexandria).

Geometry as POSCAR:
```
Pm4Ho15Sc
1.0
-1.512 4.810 2.986
-2.639 -3.333 4.033
15.695 -0.953 9.484
Pm Ho Sc
4 15 1
Direct
0.000 0.000 0.197
0.000 0.000 0.398
0.000 0.000 0.602
0.000 0.000 0.803
0.500 0.500 0.000
0.500 0.500 0.200
0.500 0.500 0.400
0.500 0.500 0.600
0.500 0.500 0.800
0.500 0.000 0.095
0.500 0.000 0.298
0.500 0.000 0.500
0.500 0.000 0.702
0.500 0.000 0.905
0.000 0.500 0.095
0.000 0.500 0.298
0.000 0.500 0.500
0.000 0.500 0.702
0.000 0.500 0.905
0.000 0.000 0.000
```

Computed properties:
Calculated total energy ... -4.5739 eV per atom
SG ... No. 123
Density ... 8.16 g/cm³
DFT formation energy ... 0.126 eV/atom
Size of the total moment ... 0.0000 μB per atom